This record from the Alexandria database describes a geometry-optimized AlAg4Au7 structure. The functional is PBE.

Results
ρ in g cm⁻³: 14.3
Calculated volume in Å³ per cell: 213.9
Energy in eV/atom: -3.242
SG: P-3m1 (164)

Unit cell a=2.9914 b=2.9914 c=27.6024 alpha=90.00 beta=90.00 gamma=120.00
Closest atoms and distances in Å follow each position.
Fractional coordinates of all 12 atoms:
Al  0.0000  0.0000  0.0000  6 Au 2.66
Ag  0.3333  0.6667  0.1605  6 Au 2.90-2.96, 6 Ag 2.99
Ag  0.3333  0.6667  0.4153  6 Au 2.90-2.91, 6 Ag 2.99
Ag  0.6667  0.3333  0.5847  6 Au 2.90-2.91, 6 Ag 2.99
Ag  0.6667  0.3333  0.8395  6 Au 2.90-2.96, 6 Ag 2.99
Au  0.0000  0.0000  0.2452  3 Ag 2.90, 9 Au 2.93-2.99
Au  0.0000  0.0000  0.5000  6 Ag 2.91, 6 Au 2.99
Au  0.0000  0.0000  0.7548  3 Ag 2.90, 9 Au 2.93-2.99
Au  0.3333  0.6667  0.6690  3 Ag 2.90, 9 Au 2.93-2.99
Au  0.3333  0.6667  0.9265  3 Al 2.66, 3 Ag 2.96
Au  0.6667  0.3333  0.0735  3 Al 2.66, 3 Ag 2.96
Au  0.6667  0.3333  0.3310  3 Ag 2.90, 9 Au 2.93-2.99